Zr5Tl3 at its PBEsol-relaxed geometry, computed with meta-GGA SCAN.

Structure (CIF):
```
data_Zr5Tl3
_chemical_formula_sum 'Zr10 Tl6'
_symmetry_space_group_name_H-M 'P 1'
_symmetry_Int_Tables_number 1
_symmetry_space_group_name_Hall 'P 1'
_cell_length_a 5.793
_cell_length_b 8.459
_cell_length_c 8.459
_cell_angle_alpha 120.00
_cell_angle_beta 90.00
_cell_angle_gamma 90.00
loop_
_atom_site_label
_atom_site_fract_x
_atom_site_fract_y
_atom_site_fract_z
Tl1 0.750 0.394 0.394
Tl2 0.250 0.606 0.606
Tl3 0.750 0.000 0.606
Tl4 0.750 0.606 0.000
Tl5 0.250 0.394 0.000
Tl6 0.250 0.000 0.394
Zr1 0.000 0.667 0.333
Zr2 0.500 0.333 0.667
Zr3 0.000 0.333 0.667
Zr4 0.500 0.667 0.333
Zr5 0.750 0.764 0.764
Zr6 0.250 0.236 0.236
Zr7 0.750 0.000 0.236
Zr8 0.750 0.236 0.000
Zr9 0.250 0.764 0.000
Zr10 0.250 0.000 0.764
```

Summary:
Energy of formation from the pure elements   -302 meV/atom
Energy above the lowest structure with this stoichiometry   0 meV/atom